<a>
# Se3SF, relaxed, DFT GGA-PBE
# D(E_F): 6.8 states/eV per cell
# total magnetic moment: 0.00 μB/cell
data_Se3SF
_space_group_name_H-M_alt 'P m -3 m'
_space_group_IT_number 221
_space_group_name_Hall '-P 4 2 3'
_cell_length_a 4.815
_cell_length_b 4.815
_cell_length_c 4.815
_cell_angle_alpha 90.00
_cell_angle_beta 90.00
_cell_angle_gamma 90.00
loop_
_atom_site_label
_atom_site_type_symbol
_atom_site_fract_x
_atom_site_fract_y
_atom_site_fract_z
Se1 Se 0.000 0.000 0.500
S1 S 0.000 0.000 0.000
F1 F 0.500 0.500 0.500

=====

<b>
# Se3SF, relaxed, DFT GGA-PBE
# D(E_F): 6.7 states/eV per cell
# total magnetic moment: 0.00 μB/cell
data_Se3SF
_space_group_name_H-M_alt 'P m -3 m'
_space_group_IT_number 221
_space_group_name_Hall '-P 4 2 3'
_cell_length_a 4.643
_cell_length_b 4.643
_cell_length_c 4.643
_cell_angle_alpha 90.00
_cell_angle_beta 90.00
_cell_angle_gamma 90.00
loop_
_atom_site_label
_atom_site_type_symbol
_atom_site_fract_x
_atom_site_fract_y
_atom_site_fract_z
Se1 Se 0.000 0.000 0.500
S1 S 0.500 0.500 0.500
F1 F 0.000 0.000 0.000

=====

What is the least stable structure shown above? It is <b>.